A geometry-optimized HfNb3As structure, computed with PBE-GGA.

a b c (Å): 4.765 4.765 4.765
angles (deg): 90.00 90.00 90.00
Space group Pm-3m (No. 221)
Unique sites:
Hf  0.000  0.000  0.000 [1 per cell]
Nb  0.000  0.500  0.500 [3 per cell]
As  0.500  0.500  0.500 [1 per cell]

- Energy above the most stable polymorph in this dataset: 18.54 kcal/mol of atoms
- ΔH_f (0 K): 0.447 eV per atom
- DOS(E_F): 4.7 states/eV/cell
- V: 21.64 A^3/atom
- Final energy: -8.52 eV/atom


A geometry-optimized Hf2NbAs2 structure, computed with PBE-GGA.

a b c (Å): 7.065 7.065 3.658
angles (deg): 90.00 90.00 90.00
Space group P4/mbm (No. 127)
Unique sites:
Hf  0.158  0.342  0.000 [4 per cell]
Nb  0.000  0.000  0.500 [2 per cell]
As  0.145  0.645  0.500 [4 per cell]

- Energy above the most stable polymorph in this dataset: 0.00 kcal/mol of atoms
- ΔH_f (0 K): -0.766 eV per atom
- DOS(E_F): 6.9 states/eV/cell
- V: 18.25 A^3/atom
- Final energy: -8.62 eV/atom